{"formula": "AcHoPtPb", "functional": "PBE", "state": "optimized geometry", "e_form_ev_per_fu": -2.54, "dft_energy_ev_per_atom": -5.244, "lattice": [[7.6650, 0.0000, 0.0000], [0.0000, 7.6650, 0.0000], [0.0000, 0.0000, 7.6650]], "species": ["Ac", "Ac", "Ac", "Ac", "Ho", "Ho", "Ho", "Ho", "Pt", "Pt", "Pt", "Pt", "Pb", "Pb", "Pb", "Pb"], "fractional_positions": [[0.0000, 0.0000, 0.0000], [0.0000, 0.5000, 0.5000], [0.5000, 0.0000, 0.5000], [0.5000, 0.5000, 0.0000], [0.0000, 0.0000, 0.5000], [0.0000, 0.5000, 0.0000], [0.5000, 0.0000, 0.0000], [0.5000, 0.5000, 0.5000], [0.2500, 0.2500, 0.7500], [0.2500, 0.7500, 0.2500], [0.7500, 0.2500, 0.2500], [0.7500, 0.7500, 0.7500], [0.2500, 0.2500, 0.2500], [0.2500, 0.7500, 0.7500], [0.7500, 0.2500, 0.7500], [0.7500, 0.7500, 0.2500]]}